Record 1
First-principles (PBE-GGA) data for a relaxed structure of KSiAu3, as listed in Alexandria.

Geometry as POSCAR:
```
KSiAu3
1.0
-3.7080 -2.7302 -4.5007
4.9478 -0.1893 -3.9614
3.1721 -3.5023 4.1293
Au K Si
6 2 2
Cartesian
2.1846 -4.2305 2.9267
2.3402 -3.2958 -4.5323
2.0717 -3.1260 0.1994
2.2273 -2.1912 -7.2596
4.6545 -4.3251 0.9491
-0.2427 -2.0967 -5.2820
0.0612 -3.9122 -2.2741
4.3507 -2.5096 -2.0588
1.4783 -0.9345 -0.6465
2.9336 -5.4873 -3.6864
```

The total energy comes out at -3.479 eV/atom. As for the uncorrected formation energy: -0.208 eV/atom. The calculation puts the total magnetization at 0.000 μB per atom.



Record 2
First-principles (PBE-GGA) data for a relaxed structure of ZrTaTc2, as listed in Alexandria.

Geometry as POSCAR:
```
ZrTaTc2
1.0
4.5153 -0.0025 0.0017
3.4285 2.9382 0.0017
1.1459 0.4235 5.3085
Tc Ta Zr
2 1 1
Cartesian
4.5726 1.6899 2.5587
7.9161 2.9255 0.1007
2.2724 0.8398 1.3280
6.8173 2.5194 3.9839
```

The total energy comes out at -10.295 eV/atom. The formation energy is -0.0116 eV/atom. The calculation puts the total magnetization at 0.000 μB per atom.



Record 3
First-principles (PBE-GGA) data for a relaxed structure of Mn2Pd5Au5, as listed in Alexandria.

Geometry as POSCAR:
```
Mn2Pd5Au5
1.0
-2.2987 -3.7682 1.6194
2.8373 -1.3904 -6.0330
4.4653 -0.0883 6.1329
Mn Pd Au
2 5 5
Cartesian
4.1951 -1.1201 3.3485
0.8089 -4.1268 -1.6292
3.1301 -3.6017 2.8876
2.8825 -4.6817 0.0230
1.8739 -1.6452 -1.1682
2.1215 -0.5651 1.6964
0.0000 0.0000 0.0000
0.9403 -3.0261 1.1187
4.0637 -2.2208 0.6007
1.7133 -2.6773 -3.7980
1.0833 -1.9283 3.8762
3.2907 -2.5695 5.5173
```

The offset from the most stable computed form comes out at 56 meV per atom. The total energy comes out at -5.179 eV/atom. The formation energy is -0.1212 eV/atom. The calculation puts the total magnetization at 0.750 μB per atom.



Record 4
First-principles (PBE-GGA) data for a relaxed structure of Tm3Ge3Ru2, as listed in Alexandria.

Geometry as POSCAR:
```
Tm3Ge3Ru2
1.0
-4.6572 -1.4362 -2.7578
4.3401 -4.8960 -4.7796
-2.0645 -10.6460 9.0306
Ru Ge Tm
8 12 12
Cartesian
-4.0165 -2.6608 -1.9937
2.2812 -10.9845 0.6598
1.6349 -14.3174 3.4870
-1.2276 -8.9494 2.2568
-4.6628 -5.9937 0.8334
-1.8739 -12.2823 5.0840
-1.1540 -8.0288 -0.7636
-0.5077 -4.6959 -3.5908
0.5566 -6.4789 -1.9974
-2.9382 -10.4993 3.4906
-1.7276 -2.7874 -2.8015
-1.5370 -10.0522 -2.0547
-0.8446 -6.9260 3.5479
0.2136 -9.7169 0.4997
-1.7121 -11.4000 7.3429
-0.3119 -3.6296 1.1631
-0.6540 -14.1908 4.2947
-2.0697 -13.3487 0.3301
-2.5952 -7.2613 0.9936
-0.6695 -5.5783 -5.8497
-1.3517 -9.0711 5.5370
-0.3063 -11.8659 2.4812
-3.6019 -13.3620 2.9665
-4.5047 -10.5232 6.1067
-1.0299 -7.9071 -4.0438
1.2203 -3.6162 -1.4732
1.5610 -9.3538 -2.1545
-3.9426 -7.6244 3.6477
0.6582 -6.5150 0.9857
-2.0753 -5.1123 -0.9880
2.1231 -6.4550 -4.6134
-3.0398 -10.4632 0.5075
```

The offset from the most stable computed form comes out at 60 meV per atom. The total energy comes out at -6.456 eV/atom. The formation energy is -0.7284 eV/atom. The calculation puts the total magnetization at 0.000 μB per atom.



Record 5
First-principles (PBE-GGA) data for a relaxed structure of Nd2NpGeN5, as listed in Alexandria.

Geometry as POSCAR:
```
Nd2NpGeN5
1.0
3.4378 0.0000 0.0000
-1.7189 7.1396 0.0000
0.0000 0.0000 10.5217
N Np Nd Ge
10 2 4 2
Cartesian
1.7189 0.1225 2.9624
0.0000 0.6065 0.3361
0.0000 4.9938 0.0682
0.0000 7.0171 8.2232
1.7189 6.5331 5.5969
1.7189 3.0435 1.6622
0.0000 4.0961 6.9231
0.0000 4.5735 4.0362
1.7189 2.5662 9.2971
1.7189 2.1458 5.3291
1.7189 4.2143 5.5081
0.0000 2.9254 0.2473
1.7189 5.5970 1.9060
0.0000 1.8926 3.3531
1.7189 5.2470 8.6139
0.0000 1.5426 7.1668
0.0000 6.4983 4.6196
1.7189 0.6413 9.8805
```

The total energy comes out at -8.541 eV/atom. As for the uncorrected formation energy: -0.905 eV/atom. The calculation puts the total magnetization at 0.210 μB per atom.



Record 6
First-principles (PBE-GGA) data for a relaxed structure of NdH7Os2, as listed in Alexandria.

Geometry as POSCAR:
```
NdH7Os2
1.0
3.3272 0.0000 0.0000
0.0000 4.7161 -2.5736
0.0000 -0.1042 5.4169
H Os Nd
7 2 1
Cartesian
1.6636 4.5330 -0.8798
1.6636 3.0884 2.0809
1.6636 2.3580 -1.2868
0.0000 2.9219 -0.2534
1.6636 0.0789 3.7232
1.6636 1.5234 0.7625
0.0000 1.6899 3.0968
1.6636 1.4219 2.6056
1.6636 3.1900 0.2377
0.0000 0.0000 0.0000
```

The total energy comes out at -5.090 eV/atom. The calculation puts the total magnetization at 0.000 μB per atom.



Record 7
First-principles (PBE-GGA) data for a relaxed structure of LaYP, as listed in Alexandria.

Geometry as POSCAR:
```
LaYP
1.0
5.5839 0.0000 0.0000
0.0000 7.7839 1.9267
0.0000 -1.9924 7.9507
P Y La
4 4 4
Cartesian
1.3958 -0.7822 7.2358
4.1877 2.6817 1.6783
4.1881 6.5737 2.6416
1.3962 3.1098 8.1992
4.1877 -0.7951 7.2815
1.3962 6.5866 2.5959
1.3958 2.6946 1.6326
4.1881 3.0969 8.2448
4.1879 0.2401 3.1947
1.3959 1.6595 5.7193
4.1880 4.1320 4.1581
1.3960 5.5514 6.6827
```

The offset from the most stable computed form comes out at 0 meV per atom. The total energy comes out at -6.598 eV/atom. The formation energy is -0.9971 eV/atom. The calculation puts the total magnetization at 0.000 μB per atom.



Record 8
First-principles (PBE-GGA) data for a relaxed structure of Fe2Cu3Pd7, as listed in Alexandria.

Geometry as POSCAR:
```
Fe2Cu3Pd7
1.0
3.8797 0.0000 0.0000
0.0000 3.9239 -0.7793
0.0000 0.4063 12.3138
Cu Fe Pd
3 2 7
Cartesian
1.9399 1.9619 -0.3897
1.9399 1.6530 8.3227
1.9399 2.6772 3.2118
0.0000 0.7145 3.5973
0.0000 3.6158 7.9372
0.0000 2.3403 1.5153
0.0000 1.3464 6.7789
1.9399 0.3821 1.9240
0.0000 0.0000 0.0000
0.0000 1.9899 10.0192
0.0000 2.9838 4.7556
1.9399 3.9481 9.6105
```

The total energy comes out at -5.339 eV/atom. The formation energy is 0.1243 eV/atom. The calculation puts the total magnetization at 0.678 μB per atom.



Record 9
First-principles (PBE-GGA) data for a relaxed structure of LaPrPH, as listed in Alexandria.

Geometry as POSCAR:
```
LaPrPH
1.0
4.1118 0.0000 0.0000
2.0559 3.5609 0.0000
2.0559 1.1870 13.2825
La Pr P H
2 2 2 2
Cartesian
4.1118 2.3740 1.7315
4.1118 2.3740 11.5509
6.1677 3.5609 8.3088
2.0559 1.1870 4.9737
0.0000 0.0000 0.0000
4.1118 2.3740 6.6412
2.0559 1.1870 2.5920
6.1677 3.5609 10.6905
```

The total energy comes out at -5.604 eV/atom. The calculation puts the total magnetization at 0.024 μB per atom.



Record 10
First-principles (PBE-GGA) data for a relaxed structure of VCuOs3, as listed in Alexandria.

Geometry as POSCAR:
```
VCuOs3
1.0
4.3901 0.0000 0.0000
0.0000 4.3901 0.0000
0.0000 0.0000 4.3901
Os Cu V
3 1 1
Cartesian
2.1951 0.0000 0.0000
0.0000 0.0000 2.1951
0.0000 2.1951 0.0000
0.0000 0.0000 0.0000
2.1951 2.1951 2.1951
```

The offset from the most stable computed form comes out at 85 meV per atom. The total energy comes out at -7.449 eV/atom. The formation energy is 1.9317 eV/atom. The calculation puts the total magnetization at 0.037 μB per atom.



Record 11
First-principles (PBE-GGA) data for a relaxed structure of BaLiO, as listed in Alexandria.

Geometry as POSCAR:
```
BaLiO
1.0
4.5269 0.0000 0.0000
0.0000 3.6528 0.0000
0.0000 -1.8264 3.1634
Ba O Li
1 1 1
Cartesian
3.0177 0.0000 2.1090
0.7548 1.8264 1.0545
0.7544 0.0000 0.0000
```

The offset from the most stable computed form comes out at 331 meV per atom. The total energy comes out at -4.209 eV/atom. As for the uncorrected formation energy: -1.277 eV/atom. The calculation puts the total magnetization at 0.211 μB per atom.



Record 12
First-principles (PBE-GGA) data for a relaxed structure of Zr3CoSi, as listed in Alexandria.

Geometry as POSCAR:
```
Zr3CoSi
1.0
4.7629 0.0000 0.0000
0.0000 4.7629 0.0000
0.0000 0.0000 4.7629
Zr Si Co
3 1 1
Cartesian
2.3815 0.0000 0.0000
0.0000 2.3815 0.0000
0.0000 0.0000 2.3815
2.3815 2.3815 2.3815
0.0000 0.0000 0.0000
```

The offset from the most stable computed form comes out at 0 meV per atom. The total energy comes out at -7.528 eV/atom. As for the uncorrected formation energy: 0.107 eV/atom. The calculation puts the total magnetization at 0.000 μB per atom.



Record 13
First-principles (PBE-GGA) data for a relaxed structure of NdPuCo, as listed in Alexandria.

Geometry as POSCAR:
```
NdPuCo
1.0
-0.7925 1.8715 3.1819
1.9548 -7.4126 4.8466
7.5752 3.4203 -0.1248
Co Pu Nd
4 4 4
Cartesian
4.8882 -2.6805 7.2740
8.2178 -0.5005 4.5812
3.8493 0.5597 0.6296
0.5197 -1.6202 3.3224
8.4991 -2.9540 3.8545
0.2384 0.8332 4.0491
3.3380 -0.0223 3.0843
5.3996 -2.0985 4.8193
6.7358 -0.4827 1.9616
5.2081 2.8426 1.8654
3.5294 -4.9634 6.0382
2.0017 -1.6381 5.9420
```

The offset from the most stable computed form comes out at 0 meV per atom. The total energy comes out at -8.740 eV/atom. The formation energy is -0.0044 eV/atom. The calculation puts the total magnetization at 1.809 μB per atom.



Record 14
First-principles (PBE-GGA) data for a relaxed structure of HgTe2Pb, as listed in Alexandria.

Geometry as POSCAR:
```
HgTe2Pb
1.0
-0.8589 3.0248 -5.7262
0.6074 -6.7540 -0.4576
-3.0548 -0.5394 -0.8771
Pb Te Hg
1 2 1
Cartesian
-0.1258 -1.8646 -3.0919
-1.9569 1.2427 -3.3016
0.0000 0.0000 0.0000
-1.2237 -3.6467 -0.6673
```

The total energy comes out at -2.524 eV/atom. As for the uncorrected formation energy: 0.050 eV/atom. The calculation puts the total magnetization at 0.000 μB per atom.



Record 15
First-principles (PBE-GGA) data for a relaxed structure of LiHo4Co2, as listed in Alexandria.

Geometry as POSCAR:
```
LiHo4Co2
1.0
9.7784 -1.1463 0.8405
-2.0329 7.8783 -1.1121
-2.8714 -4.3381 4.5888
Ho Li Co
8 2 4
Cartesian
0.4307 -0.0050 2.6263
0.0827 4.6015 1.8822
6.9006 -1.4307 1.2690
5.1368 -2.3950 4.0925
5.2756 0.9063 3.6625
6.3260 3.8716 1.9041
3.3865 2.4774 1.1505
3.5418 -0.7968 1.1930
0.5907 2.0151 0.2741
-1.8023 2.0830 1.6899
-2.2757 0.0200 3.3462
5.7181 1.2301 1.0366
2.3737 4.6854 0.3923
2.8221 -0.5932 3.8953
```

The total energy comes out at -4.977 eV/atom. The formation energy is -0.0579 eV/atom. The calculation puts the total magnetization at 0.000 μB per atom.



Record 16
First-principles (PBE-GGA) data for a relaxed structure of ZnSb2TePb, as listed in Alexandria.

Geometry as POSCAR:
```
ZnSb2TePb
1.0
5.2119 0.0000 0.0000
0.0000 5.2119 0.0000
0.0000 0.0000 5.5587
Sb Te Zn Pb
2 1 1 1
Cartesian
0.0000 2.6060 0.0000
2.6060 0.0000 0.0000
0.0000 0.0000 2.7794
0.0000 0.0000 0.0000
2.6060 2.6060 2.7794
```

The offset from the most stable computed form comes out at 0 meV per atom. The total energy comes out at -2.944 eV/atom. As for the uncorrected formation energy: 0.330 eV/atom. The calculation puts the total magnetization at 0.000 μB per atom.



Record 17
First-principles (PBE-GGA) data for a relaxed structure of PrLuZn2, as listed in Alexandria.

Geometry as POSCAR:
```
PrLuZn2
1.0
5.1078 0.0000 0.0000
2.5539 4.4235 0.0000
2.5539 1.4745 4.1705
Zn Lu Pr
2 1 1
Cartesian
2.5539 1.4745 1.0426
7.6617 4.4235 3.1279
0.0000 0.0000 0.0000
5.1078 2.9490 2.0852
```

The offset from the most stable computed form comes out at 9 meV per atom. The total energy comes out at -3.270 eV/atom. The formation energy is -0.3080 eV/atom. The calculation puts the total magnetization at 0.000 μB per atom.



Record 18
First-principles (PBE-GGA) data for a relaxed structure of Li2LaMo, as listed in Alexandria.

Geometry as POSCAR:
```
Li2LaMo
1.0
-2.5815 4.6677 1.6956
-5.4247 -0.4099 1.3155
4.7185 -2.7361 1.2553
La Li Mo
1 2 1
Cartesian
-0.9331 2.0302 2.2282
-4.0031 2.1289 1.5055
0.0000 0.0000 0.0000
-2.3547 -0.5086 2.0381
```

The offset from the most stable computed form comes out at 127 meV per atom. The total energy comes out at -4.358 eV/atom. The formation energy is 0.5389 eV/atom. The calculation puts the total magnetization at 0.274 μB per atom.



Record 19
First-principles (PBE-GGA) data for a relaxed structure of LiCrC3, as listed in Alexandria.

Geometry as POSCAR:
```
LiCrC3
1.0
3.7904 0.0000 0.0000
0.0000 3.7904 0.0000
0.0000 0.0000 3.7904
C Li Cr
3 1 1
Cartesian
1.8952 0.0000 0.0000
0.0000 1.8952 0.0000
0.0000 0.0000 1.8952
1.8952 1.8952 1.8952
0.0000 0.0000 0.0000
```

The offset from the most stable computed form comes out at 0 meV per atom. The total energy comes out at -6.484 eV/atom. The formation energy is 1.3577 eV/atom. The calculation puts the total magnetization at 0.000 μB per atom.



Record 20
First-principles (PBE-GGA) data for a relaxed structure of PtWCl2, as listed in Alexandria.

Geometry as POSCAR:
```
PtWCl2
1.0
6.9411 0.0632 0.0016
4.7509 5.0608 -0.0016
-5.3575 -3.6767 2.4418
Pt Cl W
1 2 1
Cartesian
6.8228 2.9901 0.0000
2.6736 1.9967 1.2201
10.6561 4.6701 0.0000
3.7200 -0.5234 1.2217
```

The offset from the most stable computed form comes out at 545 meV per atom. The total energy comes out at -5.286 eV/atom. As for the uncorrected formation energy: 0.386 eV/atom. The calculation puts the total magnetization at 0.123 μB per atom.